1.
Below is a crystal of LiCoS2Cl relaxed with PBEsol, with properties calculated at the meta-GGA SCAN level.

Summary:
Energy = -45.09 eV per cell
Energy relative to the elements, uncorrected = 1.8 eV per formula unit

Unit cell a=4.233 b=4.233 c=4.699 alpha=90.00 beta=90.00 gamma=90.00
Sites, in units of the cell vectors:
Li 0.000 0.000 0.000
Co 0.500 0.500 0.500
S 0.000 0.500 0.000
S 0.500 0.000 0.000
Cl 0.000 0.000 0.500

2.
Below is a crystal of Y5Cu relaxed with PBEsol, with properties calculated at the meta-GGA SCAN level.

Summary:
Energy = -309.37 eV per cell
E above lowest polymorph = 2 meV/atom
Formation enthalpy at 0 K = -0.045 eV/atom

Unit cell a=11.926 b=3.565 c=8.295 alpha=90.00 beta=112.02 gamma=90.00
Sites, in units of the cell vectors:
Y 0.000 0.000 0.000
Y 0.135 0.500 0.366
Y 0.169 0.500 0.795
Y 0.331 0.000 0.205
Y 0.365 0.000 0.634
Y 0.500 0.500 0.000
Y 0.635 0.000 0.366
Y 0.669 0.000 0.795
Y 0.831 0.500 0.205
Y 0.865 0.500 0.634
Cu 0.000 0.000 0.500
Cu 0.500 0.500 0.500

3.
Below is a crystal of KYCo relaxed with PBEsol, with properties calculated at the meta-GGA SCAN level.

Summary:
Energy = -104.53 eV per cell
E above lowest polymorph = 0 meV/atom
Formation enthalpy at 0 K = 0.404 eV/atom

Unit cell a=3.393 b=3.393 c=14.670 alpha=90.00 beta=90.00 gamma=90.00
Sites, in units of the cell vectors:
K 0.000 0.000 0.000
K 0.500 0.500 0.500
Y 0.000 0.000 0.246
Y 0.500 0.500 0.746
Co 0.000 0.000 0.665
Co 0.500 0.500 0.165

4.
Below is a crystal of YScIr2 relaxed with PBEsol, with properties calculated at the meta-GGA SCAN level.

Summary:
Energy = -376.94 eV per cell
Formation enthalpy at 0 K = -1.048 eV/atom

Unit cell a=6.464 b=6.819 c=3.223 alpha=90.00 beta=90.00 gamma=90.00
Sites, in units of the cell vectors:
Y 0.000 0.000 0.000
Y 0.500 0.500 0.000
Sc 0.000 0.500 0.000
Sc 0.500 0.000 0.000
Ir 0.250 0.250 0.500
Ir 0.250 0.750 0.500
Ir 0.750 0.250 0.500
Ir 0.750 0.750 0.500

Respective Fermi-level density of states values: 3.0 6.6 1.6 0.9 states/eV/f.u..